Entry 1:
Below is a relaxed structure of PmCuHgGe, with properties calculated at the PBE level.

Summary:
ΔE_f ... -0.208 eV/atom
Total magnetization ... 0.00 μB per formula unit

Cell: 4.9030 4.9030 4.9030 Å, 60.00 60.00 60.00°
Fractional positions:
Hg 0.2500 0.2500 0.2500
Ge 0.5000 0.5000 0.5000
Pm 0.7500 0.7500 0.7500
Cu 0.0000 0.0000 0.0000

---

Entry 2:
Below is a relaxed structure of GdThMg2, with properties calculated at the PBE level.

Summary:
ΔE_f ... 0.007 eV/atom
Total magnetization ... 7.40 μB per formula unit

Cell: 5.4134 5.4134 5.4134 Å, 60.00 60.00 60.00°
Fractional positions:
Mg 0.2500 0.2500 0.2500
Mg 0.7500 0.7500 0.7500
Gd 0.5000 0.5000 0.5000
Th 0.0000 0.0000 0.0000

---

Question: Look up the ΔE_f of the second one.
Answer: 0.007 eV/atom

---

Question: What is the ΔE_f in the first record?
Answer: -0.208 eV/atom

---

Question: Among the records above, which one has the lowest total magnetization?
Answer: PmCuHgGe